[1]
{
  "formula": "La2Zn3Ni12Pd",
  "functional": "PBE",
  "state": "relaxed",
  "spacegroup": "R-3m, No. 166",
  "magmom_total_mub_per_fu": 0.00,
  "lattice": [[3.058, 1.765, 8.700], [-3.058, 1.765, 8.700], [0.000, -3.531, 8.700]],
  "species": ["La", "La", "Zn", "Zn", "Zn", "Ni", "Ni", "Ni", "Ni", "Ni", "Ni", "Ni", "Ni", "Ni", "Ni", "Ni", "Ni", "Pd"],
  "frac_coords": [[0.140, 0.140, 0.140], [0.860, 0.860, 0.860], [0.000, 0.500, 0.500], [0.500, 0.000, 0.500], [0.500, 0.500, 0.000], [0.046, 0.627, 0.627], [0.083, 0.083, 0.700], [0.083, 0.700, 0.083], [0.300, 0.917, 0.917], [0.373, 0.373, 0.954], [0.373, 0.954, 0.373], [0.627, 0.046, 0.627], [0.627, 0.627, 0.046], [0.700, 0.083, 0.083], [0.917, 0.300, 0.917], [0.917, 0.917, 0.300], [0.954, 0.373, 0.373], [0.500, 0.500, 0.500]]
}

***

[2]
{
  "formula": "LaZnNiPd",
  "functional": "PBE",
  "state": "relaxed",
  "spacegroup": "Cm, No. 8",
  "magmom_total_mub_per_fu": 0.00,
  "lattice": [[3.749, -2.168, 0.000], [3.749, 2.168, 0.000], [-2.513, 0.000, 4.846]],
  "species": ["La", "Zn", "Ni", "Pd"],
  "frac_coords": [[0.000, 0.000, 0.000], [0.491, 0.491, 0.474], [0.798, 0.798, 0.394], [0.207, 0.207, 0.621]]
}

***

[3]
{
  "formula": "La2Zn2NiPd5",
  "functional": "PBE",
  "state": "relaxed",
  "spacegroup": "P4/mbm, No. 127",
  "magmom_total_mub_per_fu": 0.00,
  "lattice": [[9.753, 0.000, 0.000], [0.000, 9.753, 0.000], [0.000, 0.000, 3.861]],
  "species": ["La", "La", "La", "La", "Zn", "Zn", "Zn", "Zn", "Ni", "Ni", "Pd", "Pd", "Pd", "Pd", "Pd", "Pd", "Pd", "Pd", "Pd", "Pd"],
  "frac_coords": [[0.182, 0.318, 0.000], [0.318, 0.818, 0.000], [0.682, 0.182, 0.000], [0.818, 0.682, 0.000], [0.116, 0.616, 0.000], [0.384, 0.116, 0.000], [0.616, 0.884, 0.000], [0.884, 0.384, 0.000], [0.000, 0.000, 0.000], [0.500, 0.500, 0.000], [0.000, 0.500, 0.500], [0.060, 0.799, 0.500], [0.201, 0.060, 0.500], [0.299, 0.560, 0.500], [0.440, 0.299, 0.500], [0.500, 0.000, 0.500], [0.560, 0.701, 0.500], [0.701, 0.440, 0.500], [0.799, 0.940, 0.500], [0.940, 0.201, 0.500]]
}

***

[4]
{
  "formula": "LaPm12Ni7",
  "functional": "PBE",
  "state": "relaxed",
  "spacegroup": "R-3, No. 148",
  "magmom_total_mub_per_fu": 0.00,
  "lattice": [[7.323, 4.228, 2.835], [-7.323, 4.228, 2.835], [0.000, -8.455, 2.835]],
  "species": ["La", "Pm", "Pm", "Pm", "Pm", "Pm", "Pm", "Pm", "Pm", "Pm", "Pm", "Pm", "Pm", "Ni", "Ni", "Ni", "Ni", "Ni", "Ni", "Ni"],
  "frac_coords": [[0.000, 0.000, 0.000], [0.053, 0.701, 0.194], [0.172, 0.423, 0.533], [0.194, 0.053, 0.701], [0.299, 0.806, 0.947], [0.423, 0.533, 0.172], [0.467, 0.828, 0.577], [0.533, 0.172, 0.423], [0.577, 0.467, 0.828], [0.701, 0.194, 0.053], [0.806, 0.947, 0.299], [0.828, 0.577, 0.467], [0.947, 0.299, 0.806], [0.102, 0.413, 0.199], [0.199, 0.102, 0.413], [0.413, 0.199, 0.102], [0.500, 0.500, 0.500], [0.587, 0.801, 0.898], [0.801, 0.898, 0.587], [0.898, 0.587, 0.801]]
}

***

[5]
{
  "formula": "LaPm3Ni2",
  "functional": "PBE",
  "state": "relaxed",
  "spacegroup": "C2/m, No. 12",
  "e_above_lowest_polymorph_mev_per_atom": 0,
  "magmom_total_mub_per_fu": 0.00,
  "lattice": [[8.370, -1.982, 0.000], [8.370, 1.982, 0.000], [-6.802, 0.000, 9.821]],
  "species": ["La", "La", "Pm", "Pm", "Pm", "Pm", "Pm", "Pm", "Ni", "Ni", "Ni", "Ni"],
  "frac_coords": [[0.155, 0.155, 0.253], [0.845, 0.845, 0.747], [0.154, 0.154, 0.750], [0.416, 0.416, 0.059], [0.419, 0.419, 0.555], [0.581, 0.581, 0.445], [0.584, 0.584, 0.941], [0.846, 0.846, 0.250], [0.232, 0.232, 0.553], [0.233, 0.233, 0.048], [0.767, 0.767, 0.952], [0.768, 0.768, 0.447]]
}

***

[6]
{
  "formula": "La4PmNi",
  "functional": "PBE",
  "state": "relaxed",
  "spacegroup": "C2/c, No. 15",
  "magmom_total_mub_per_fu": 0.00,
  "lattice": [[8.750, -3.318, 0.000], [8.750, 3.318, 0.000], [-2.211, 0.000, 6.858]],
  "species": ["La", "La", "La", "La", "La", "La", "La", "La", "Pm", "Pm", "Ni", "Ni"],
  "frac_coords": [[0.003, 0.190, 0.022], [0.190, 0.003, 0.522], [0.219, 0.409, 0.369], [0.409, 0.219, 0.869], [0.591, 0.781, 0.131], [0.781, 0.591, 0.631], [0.810, 0.997, 0.478], [0.997, 0.810, 0.978], [0.453, 0.547, 0.750], [0.547, 0.453, 0.250], [0.000, 0.500, 0.000], [0.500, 0.000, 0.500]]
}

***

[7]
{
  "formula": "La2PmNi",
  "functional": "PBE",
  "state": "relaxed",
  "spacegroup": "R3m, No. 160",
  "e_above_lowest_polymorph_mev_per_atom": 102,
  "magmom_total_mub_per_fu": 0.00,
  "lattice": [[1.959, 1.131, 9.407], [-1.959, 1.131, 9.407], [0.000, -2.263, 9.407]],
  "species": ["La", "La", "Pm", "Ni"],
  "frac_coords": [[0.000, 0.000, 0.000], [0.212, 0.212, 0.212], [0.439, 0.439, 0.439], [0.606, 0.606, 0.606]]
}

***

[8]
{
  "formula": "LaPm6Ni3",
  "functional": "PBE",
  "state": "relaxed",
  "spacegroup": "Cmc2_1, No. 36",
  "magmom_total_mub_per_fu": 0.00,
  "lattice": [[5.710, -6.649, 0.000], [5.710, 6.649, 0.000], [0.000, 0.000, 7.188]],
  "species": ["La", "La", "Pm", "Pm", "Pm", "Pm", "Pm", "Pm", "Pm", "Pm", "Pm", "Pm", "Pm", "Pm", "Ni", "Ni", "Ni", "Ni", "Ni", "Ni"],
  "frac_coords": [[0.177, 0.823, 0.500], [0.823, 0.177, 0.000], [0.085, 0.466, 0.270], [0.128, 0.211, 0.620], [0.211, 0.128, 0.120], [0.273, 0.727, 0.962], [0.466, 0.085, 0.770], [0.469, 0.531, 0.617], [0.531, 0.469, 0.117], [0.534, 0.915, 0.270], [0.727, 0.273, 0.462], [0.789, 0.872, 0.620], [0.872, 0.789, 0.120], [0.915, 0.534, 0.770], [0.079, 0.921, 0.822], [0.208, 0.411, 0.908], [0.411, 0.208, 0.408], [0.589, 0.792, 0.908], [0.792, 0.589, 0.408], [0.921, 0.079, 0.322]]
}

***

[9]
{
  "formula": "La4Pm3Ni4",
  "functional": "PBE",
  "state": "relaxed",
  "spacegroup": "Immm, No. 71",
  "magmom_total_mub_per_fu": 0.00,
  "lattice": [[-2.413, 3.771, 7.609], [2.413, -3.771, 7.609], [2.413, 3.771, -7.609]],
  "species": ["La", "La", "La", "La", "Pm", "Pm", "Pm", "Ni", "Ni", "Ni", "Ni"],
  "frac_coords": [[0.057, 0.835, 0.221], [0.386, 0.165, 0.221], [0.614, 0.835, 0.779], [0.943, 0.165, 0.779], [0.000, 0.500, 0.500], [0.401, 0.401, 0.000], [0.599, 0.599, 0.000], [0.201, 0.701, 0.500], [0.335, 0.000, 0.335], [0.665, 0.000, 0.665], [0.799, 0.299, 0.500]]
}

***

[10]
{
  "formula": "LaPmNi10",
  "functional": "PBE",
  "state": "relaxed",
  "spacegroup": "Pmmm, No. 47",
  "magmom_total_mub_per_fu": 2.80,
  "lattice": [[3.971, 0.000, 0.000], [0.000, 4.973, 0.000], [0.000, 0.000, 8.606]],
  "species": ["La", "Pm", "Ni", "Ni", "Ni", "Ni", "Ni", "Ni", "Ni", "Ni", "Ni", "Ni"],
  "frac_coords": [[0.000, 0.000, 0.000], [0.000, 0.500, 0.500], [0.000, 0.000, 0.335], [0.000, 0.000, 0.665], [0.000, 0.500, 0.168], [0.000, 0.500, 0.832], [0.500, 0.000, 0.500], [0.500, 0.252, 0.253], [0.500, 0.252, 0.747], [0.500, 0.500, 0.000], [0.500, 0.748, 0.253], [0.500, 0.748, 0.747]]
}

***

[11]
{
  "formula": "La2Pm2Ni3",
  "functional": "PBE",
  "state": "relaxed",
  "spacegroup": "C2/m, No. 12",
  "magmom_total_mub_per_fu": 0.00,
  "lattice": [[7.422, -2.182, 0.000], [7.422, 2.182, 0.000], [-2.085, 0.000, 5.391]],
  "species": ["La", "La", "Pm", "Pm", "Ni", "Ni", "Ni"],
  "frac_coords": [[0.135, 0.135, 0.211], [0.865, 0.865, 0.789], [0.386, 0.386, 0.315], [0.614, 0.614, 0.685], [0.239, 0.239, 0.844], [0.500, 0.500, 0.000], [0.761, 0.761, 0.156]]
}

***

[12]
{
  "formula": "La4PmNi2",
  "functional": "PBE",
  "state": "relaxed",
  "spacegroup": "P2_1/m, No. 11",
  "magmom_total_mub_per_fu": 0.00,
  "lattice": [[7.984, 0.000, 0.000], [0.000, 6.754, 0.000], [-3.715, 0.000, 7.406]],
  "species": ["La", "La", "La", "La", "La", "La", "La", "La", "Pm", "Pm", "Ni", "Ni", "Ni", "Ni"],
  "frac_coords": [[0.005, 0.250, 0.363], [0.284, 0.750, 0.367], [0.418, 0.016, 0.780], [0.418, 0.484, 0.780], [0.582, 0.516, 0.220], [0.582, 0.984, 0.220], [0.716, 0.250, 0.633], [0.995, 0.750, 0.637], [0.142, 0.250, 0.024], [0.858, 0.750, 0.976], [0.234, 0.750, 0.000], [0.356, 0.250, 0.400], [0.644, 0.750, 0.600], [0.766, 0.250, 0.000]]
}

***

E_form
In order: 0.1106 -0.5434 -0.5136 -0.1349 -0.2198 -0.0575 -0.0794 -0.1617 -0.1695 -0.2855 -0.2141 -0.1072
Unit: eV/atom